Entry 1:
The following is a PBE calculation of BaGa4Hg after structural relaxation, from Alexandria via LeMat-Bulk.

The structure belongs to space group Pbam (No. 55); the cell edges are 8.4282, 16.2893 and 4.4254 Å and the angles 90.00°, 90.00° and 90.00°. Symmetry generates all atoms from Ba at (0.1299, 0.1498, 0.0000), Ga at (0.0152, 0.6934, 0.5000), Ga at (0.1125, 0.5477, 0.5000), Ga at (0.1345, 0.9665, 0.5000), Ga at (0.2088, 0.8123, 0.5000) and Hg at (0.1520, 0.4044, 0.0000).

The value obtained for the density of states at the Fermi level is 0.54 states/eV/atom. As for the formation energy: -0.245 eV per atom. For the energy, the calculation gives -2.63 eV/atom.


Entry 2:
The following is a PBE calculation of CuAs2Cl after structural relaxation, from Alexandria via LeMat-Bulk.

The structure belongs to space group P4mm (No. 99); the cell edges are 3.4952, 3.4952 and 6.7912 Å and the angles 90.00°, 90.00° and 90.00°. Symmetry generates all atoms from Cu at (0.0000, 0.0000, 0.0000), As at (0.0000, 0.0000, 0.3688), As at (0.5000, 0.5000, 0.2330) and Cl at (0.5000, 0.5000, 0.8026).

Its energy relative to the elements, uncorrected is 107 meV per atom. The value obtained for the density of states at the Fermi level is 0.47 states/eV/atom. For the energy, the calculation gives -3.70 eV/atom.


Entry 3:
The following is a PBE calculation of Mg2CoCuH after structural relaxation, from Alexandria via LeMat-Bulk.

The structure belongs to space group P4/mmm (No. 123); the cell edges are 4.3583, 4.3583 and 3.2290 Å and the angles 90.00°, 90.00° and 90.00°. Symmetry generates all atoms from Mg at (0.0000, 0.5000, 0.0000), Co at (0.0000, 0.0000, 0.5000), Cu at (0.5000, 0.5000, 0.5000) and H at (0.0000, 0.0000, 0.0000).

The value obtained for the density of states at the Fermi level is 0.34 states/eV/atom. For the energy, the calculation gives -3.60 eV/atom.


Entry 4:
The following is a PBE calculation of BC2 after structural relaxation, from Alexandria via LeMat-Bulk.

The structure belongs to space group C2/m (No. 12); the cell edges are 9.0147, 2.5028 and 7.6147 Å and the angles 90.00°, 117.59° and 90.00°. Symmetry generates all atoms from B at (0.0707, 0.0000, 0.2464), B at (0.1003, 0.5000, 0.1014), C at (0.0890, 0.5000, 0.6006), C at (0.0909, 0.0000, 0.7212), C at (0.2429, 0.5000, 0.5528) and C at (0.2491, 0.0000, 0.9402).

The value obtained for the density of states at the Fermi level is 0.11 states/eV/atom. As for the formation energy: 0.378 eV per atom. For the energy, the calculation gives -8.00 eV/atom.


Entry 5:
The following is a PBE calculation of TmMnPd4 after structural relaxation, from Alexandria via LeMat-Bulk.

The structure belongs to space group C2/m (No. 12); the cell edges are 9.2779, 3.7761 and 6.0512 Å and the angles 90.00°, 108.53° and 90.00°. Symmetry generates all atoms from Tm at (0.0000, 0.0000, 0.0000), Mn at (0.0000, 0.0000, 0.5000), Pd at (0.1626, 0.5000, 0.3435) and Pd at (0.1634, 0.5000, 0.8146).

The value obtained for the density of states at the Fermi level is 0.46 states/eV/atom. As for the formation energy: -0.536 eV per atom. For the energy, the calculation gives -6.27 eV/atom.


Entry 6:
The following is a PBE calculation of ZrPtCl2 after structural relaxation, from Alexandria via LeMat-Bulk.

The structure belongs to space group Cmmm (No. 65); the cell edges are 3.1153, 5.4807 and 10.5676 Å and the angles 90.00°, 90.00° and 90.00°. Symmetry generates all atoms from Zr at (0.0000, 0.0000, 0.0000), Pt at (0.0000, 0.0000, 0.5000) and Cl at (0.0000, 0.5000, 0.1904).

Its energy relative to the elements, uncorrected is -269 meV per atom. The value obtained for the density of states at the Fermi level is 1.09 states/eV/atom. For the energy, the calculation gives -4.84 eV/atom.


Which of these has the highest energy?
BaGa4Hg